Computed, not measured: crystalline MnGaTc2H at its relaxed geometry at the PBE level of DFT.

Output
space group: P4/mmm
ρ: 9.1 g cm⁻³
DFT total energy: -7.25 eV/atom
density of states at the Fermi level: 0.9628 states/eV/atom

a = 3.9850 Å, b = 3.9850 Å, c = 3.6877 Å
α = 90.00°, β = 90.00°, γ = 90.00°
Last column: magnetic moment on the atom in μB.
Fractional coordinates of all 5 atoms:
H  0.0000  0.0000  0.0000  -0.01
Mn  0.0000  0.0000  0.5000  2.80
Tc  0.0000  0.5000  0.0000  -0.18
Tc  0.5000  0.0000  0.0000  -0.18
Ga  0.5000  0.5000  0.5000  -0.03